A plane-wave DFT calculation with GGA-PBE was carried out for crystalline Cr2AsPb at its relaxed geometry.

The structure belongs to space group C2/m (No. 12); the cell edges are 6.210, 3.579 and 7.443 Å and the angles 90.00°, 106.34° and 90.00°. Symmetry generates all atoms from Cr at (0.232, 0.000, 0.192), As at (0.000, 0.500, 0.000) and Pb at (0.000, 0.000, 0.500).

The relative energy among the computed polymorphs comes out at 0.065 eV per atom. The uncorrected energy comes out at -6.617 eV/atom. Its formation energy is 110 kJ/mol of formula units.